Crystalline Ca2ScFe at its relaxed geometry. Source: Alexandria via LeMat-Bulk, functional PBE.

As for the polymorph energy (0 for the lowest one): 0.321 eV per atom. The value obtained for the total magnetization is 1.5 μB/cell. The uncorrected energy is -16.82 eV per cell. As for the formation energy: 2.0 eV/f.u.

Unit cell a=4.6221 b=4.6221 c=4.8633 alpha=90.00 beta=90.00 gamma=90.00
Fractional coordinates of all 4 atoms:
Ca1 0.0000 0.5000 0.0000
Ca2 0.5000 0.0000 0.0000
Sc1 0.0000 0.0000 0.5000
Fe1 0.5000 0.5000 0.5000


Crystalline Ca2ScFe at its relaxed geometry. Source: Alexandria via LeMat-Bulk, functional PBE.

As for the polymorph energy (0 for the lowest one): 0.105 eV per atom. The value obtained for the total magnetization is 1.0 μB/cell. The uncorrected energy is -17.68 eV per cell. As for the formation energy: 1.1 eV/f.u.

Unit cell a=8.9419 b=8.9419 c=8.9419 alpha=158.87 beta=153.90 gamma=33.82
Fractional coordinates of all 4 atoms:
Ca1 0.1587 0.1587 0.0000
Ca2 0.8413 0.8413 0.0000
Sc1 0.5000 0.0000 0.5000
Fe1 0.0000 0.5000 0.5000


Crystalline Ca2ScFe at its relaxed geometry. Source: Alexandria via LeMat-Bulk, functional PBE.

As for the polymorph energy (0 for the lowest one): 0.374 eV per atom. The value obtained for the total magnetization is 3.0 μB/cell. The uncorrected energy is -16.61 eV per cell. As for the formation energy: 2.2 eV/f.u.

Unit cell a=10.7927 b=10.7927 c=10.7927 alpha=18.32 beta=18.32 gamma=18.32
Fractional coordinates of all 4 atoms:
Ca1 0.2384 0.2384 0.2384
Ca2 0.7616 0.7616 0.7616
Sc1 0.0000 0.0000 0.0000
Fe1 0.5000 0.5000 0.5000


> Number 1 is which compound?

Ca2ScFe


Repeat the first record exactly.
Crystalline Ca2ScFe at its relaxed geometry. Source: Alexandria via LeMat-Bulk, functional PBE.

As for the polymorph energy (0 for the lowest one): 0.321 eV per atom. The value obtained for the total magnetization is 1.5 μB/cell. The uncorrected energy is -16.82 eV per cell. As for the formation energy: 2.0 eV/f.u.

Unit cell a=4.6221 b=4.6221 c=4.8633 alpha=90.00 beta=90.00 gamma=90.00
Fractional coordinates of all 4 atoms:
Ca1 0.0000 0.5000 0.0000
Ca2 0.5000 0.0000 0.0000
Sc1 0.0000 0.0000 0.5000
Fe1 0.5000 0.5000 0.5000


> Among the records above, which one has the lowest total magnetization?

number 2